First-principles (GGA-PBE) data for ErTmTlS after structural relaxation, as listed in Alexandria.

abc: 3.742 3.746 8.331
angles: 90.00 102.90 119.99
Sites, in units of the cell vectors:
Er: 0.101 0.948 0.064
Tm: 0.504 0.150 0.669
Tl: 0.969 0.383 0.368
S: 0.304 0.550 0.868

Summary:
Space group: No. 8
E_tot: -4.9976 eV/atom

First-principles (GGA-PBE) data for Tm2VCd after structural relaxation, as listed in Alexandria.

abc: 5.114 5.114 5.114
angles: 60.00 60.00 60.00
Sites, in units of the cell vectors:
V: 0.000 0.000 0.000
Tm: 0.250 0.250 0.250
Tm: 0.750 0.750 0.750
Cd: 0.500 0.500 0.500

Summary:
Space group: No. 225
Relative energy among the computed polymorphs: 43 meV per atom
E_tot: -4.7064 eV/atom
Formation energy: 0.038 eV/atom

First-principles (GGA-PBE) data for CaB3Au after structural relaxation, as listed in Alexandria.

abc: 4.279 4.279 4.279
angles: 90.00 90.00 90.00
Sites, in units of the cell vectors:
Ca: 0.500 0.500 0.500
B: 0.000 0.500 0.000
B: 0.000 0.000 0.500
B: 0.500 0.000 0.000
Au: 0.000 0.000 0.000

Summary:
Space group: No. 221
Relative energy among the computed polymorphs: 0 meV per atom
E_tot: -3.7616 eV/atom
Formation energy: 1.301 eV/atom

Repeat the third record exactly.
First-principles (GGA-PBE) data for CaB3Au after structural relaxation, as listed in Alexandria.

abc: 4.279 4.279 4.279
angles: 90.00 90.00 90.00
Sites, in units of the cell vectors:
Ca: 0.500 0.500 0.500
B: 0.000 0.500 0.000
B: 0.000 0.000 0.500
B: 0.500 0.000 0.000
Au: 0.000 0.000 0.000

Summary:
Space group: No. 221
Relative energy among the computed polymorphs: 0 meV per atom
E_tot: -3.7616 eV/atom
Formation energy: 1.301 eV/atom

Which of these has the lowest E_tot? ErTmTlS

Which value of E_tot does entry 2 give? -4.7064 eV/atom